No. 1
A plane-wave DFT calculation with PBE-GGA was carried out for a relaxed structure of Cd2Ag2Pb.

**Magnetic moment**: 0.0 μB/cell
**Energy of formation**: 0.089 eV/atom
**Volume**: 118 Å³ per cell
**SG**: I4/mmm
**DFT total energy**: -10.8 eV per cell

a b c (Å): 4.0669 4.0669 7.7092
angles (deg): 74.71 74.71 90.00
Fractional coordinates of all 5 atoms:
Ag  0.7500  0.2500  0.5000
Ag  0.2500  0.7500  0.5000
Pb  0.0000  0.0000  0.0000
Cd  0.6057  0.6057  0.7886
Cd  0.3943  0.3943  0.2114

---

No. 2
A plane-wave DFT calculation with PBE-GGA was carried out for a relaxed structure of CdAgPdPb.

**Magnetic moment**: 0.0 μB/cell
**Energy of formation**: -0.087 eV/atom
**Volume**: 82 Å³ per cell
**SG**: F-43m
**DFT total energy**: -13.0 eV per cell

a b c (Å): 4.8676 4.8676 4.8676
angles (deg): 60.00 60.00 60.00
Fractional coordinates of all 4 atoms:
Cd  0.7500  0.7500  0.7500
Ag  0.0000  0.0000  0.0000
Pd  0.5000  0.5000  0.5000
Pb  0.2500  0.2500  0.2500

---

No. 3
A plane-wave DFT calculation with PBE-GGA was carried out for a relaxed structure of PmCdAgPb.

**Magnetic moment**: 0.0 μB/cell
**Energy of formation**: -0.242 eV/atom
**Volume**: 101 Å³ per cell
**SG**: F-43m
**DFT total energy**: -13.2 eV per cell

a b c (Å): 5.2189 5.2189 5.2189
angles (deg): 60.00 60.00 60.00
Fractional coordinates of all 4 atoms:
Cd  0.7500  0.7500  0.7500
Pb  0.0000  0.0000  0.0000
Pm  0.2500  0.2500  0.2500
Ag  0.5000  0.5000  0.5000

---

No. 4
A plane-wave DFT calculation with PBE-GGA was carried out for a relaxed structure of PrCdAgPb.

**Magnetic moment**: 0.0 μB/cell
**Energy of formation**: -0.248 eV/atom
**Volume**: 103 Å³ per cell
**SG**: F-43m
**DFT total energy**: -13.2 eV per cell

a b c (Å): 5.2603 5.2603 5.2603
angles (deg): 60.00 60.00 60.00
Fractional coordinates of all 4 atoms:
Ag  0.0000  0.0000  0.0000
Cd  0.2500  0.2500  0.2500
Pr  0.7500  0.7500  0.7500
Pb  0.5000  0.5000  0.5000